Material: Sm5Mg2Tl
Method: DFT, PBE
State: relaxed

```
data_Sm5Mg2Tl
_chemical_formula_sum 'Sm10 Mg4 Tl2'
_space_group_name_H-M_alt 'I 4 m m'
_space_group_IT_number 107
_space_group_name_Hall 'I 4 -2'
_cell_length_a 7.8767
_cell_length_b 7.8767
_cell_length_c 7.6484
_cell_angle_alpha 90.00
_cell_angle_beta 90.00
_cell_angle_gamma 90.00
loop_
_atom_site_label
_atom_site_type_symbol
_atom_site_fract_x
_atom_site_fract_y
_atom_site_fract_z
Sm1 Sm 0.0000 0.0000 0.0000
Sm2 Sm 0.2502 0.2502 0.2493
Mg1 Mg 0.0000 0.5000 0.9999
Tl1 Tl 0.0000 0.0000 0.4988
```

Calculated values
The distance to the lowest polymorph of the same formula is 0 meV/atom. The theoretical density comes out at 7.0 g/cm³.

Material: Sm8MgTl2
Method: DFT, PBE
State: relaxed

```
data_Sm8MgTl2
_chemical_formula_sum 'Sm16 Mg2 Tl4'
_space_group_name_H-M_alt 'C 1 2/m 1'
_space_group_IT_number 12
_cell_length_a 16.6421
_cell_length_b 5.5132
_cell_length_c 8.7875
_cell_angle_alpha 90.00
_cell_angle_beta 121.39
_cell_angle_gamma 90.00
loop_
_space_group_symop_operation_xyz
'x,y,z'
'-x,-y,-z'
'-x,y,-z'
'x,-y,z'
'x+1/2,y+1/2,z'
'-x+1/2,-y+1/2,-z'
'-x+1/2,y+1/2,-z'
'x+1/2,-y+1/2,z'
loop_
_atom_site_label
_atom_site_type_symbol
_atom_site_fract_x
_atom_site_fract_y
_atom_site_fract_z
Sm1 Sm 0.0663 0.0000 0.2218
Sm2 Sm 0.0913 0.5000 0.9482
Sm3 Sm 0.1356 0.0000 0.6830
Sm4 Sm 0.1804 0.5000 0.4432
Mg1 Mg 0.0000 0.5000 0.5000
Tl1 Tl 0.2286 0.0000 0.1270
```

Calculated values
The distance to the lowest polymorph of the same formula is 0 meV/atom. The theoretical density comes out at 7.9 g/cm³.

Material: Sm9Mg2Tl
Method: DFT, PBE
State: relaxed

```
data_Sm9Mg2Tl
_chemical_formula_sum 'Sm9 Mg2 Tl1'
_space_group_name_H-M_alt 'P 4/m m m'
_space_group_IT_number 123
_space_group_name_Hall '-P 4 2'
_cell_length_a 4.9725
_cell_length_b 4.9725
_cell_length_c 14.9245
_cell_angle_alpha 90.00
_cell_angle_beta 90.00
_cell_angle_gamma 90.00
loop_
_atom_site_label
_atom_site_type_symbol
_atom_site_fract_x
_atom_site_fract_y
_atom_site_fract_z
Sm1 Sm 0.0000 0.0000 0.0000
Sm2 Sm 0.0000 0.0000 0.3343
Sm3 Sm 0.0000 0.5000 0.1657
Sm4 Sm 0.0000 0.5000 0.5000
Mg1 Mg 0.5000 0.5000 0.3327
Tl1 Tl 0.5000 0.5000 0.0000
```

Calculated values
As for the calculated total energy: -4.06 eV per atom. The theoretical density comes out at 7.2 g/cm³.

Material: SmMgTl
Method: DFT, PBE
State: relaxed

```
data_SmMgTl
_chemical_formula_sum 'Sm2 Mg2 Tl2'
_space_group_name_H-M_alt 'I 4 m m'
_space_group_IT_number 107
_space_group_name_Hall 'I 4 -2'
_cell_length_a 3.6298
_cell_length_b 3.6298
_cell_length_c 12.3154
_cell_angle_alpha 90.00
_cell_angle_beta 90.00
_cell_angle_gamma 90.00
loop_
_atom_site_label
_atom_site_type_symbol
_atom_site_fract_x
_atom_site_fract_y
_atom_site_fract_z
Sm1 Sm 0.0000 0.0000 0.0000
Mg1 Mg 0.0000 0.0000 0.6848
Tl1 Tl 0.0000 0.0000 0.3236
```

Calculated values
As for the calculated total energy: -3.07 eV per atom. The theoretical density comes out at 7.8 g/cm³.

Material: Sm2MgTl8
Method: DFT, PBE
State: relaxed

```
data_Sm2MgTl8
_chemical_formula_sum 'Sm2 Mg1 Tl8'
_space_group_name_H-M_alt 'P 4/m m m'
_space_group_IT_number 123
_space_group_name_Hall '-P 4 2'
_cell_length_a 5.0361
_cell_length_b 5.0361
_cell_length_c 12.1964
_cell_angle_alpha 90.00
_cell_angle_beta 90.00
_cell_angle_gamma 90.00
loop_
_atom_site_label
_atom_site_type_symbol
_atom_site_fract_x
_atom_site_fract_y
_atom_site_fract_z
Sm1 Sm 0.0000 0.0000 0.1861
Mg1 Mg 0.0000 0.0000 0.5000
Tl1 Tl 0.0000 0.5000 0.0000
Tl2 Tl 0.0000 0.5000 0.3654
Tl3 Tl 0.5000 0.5000 0.1841
```

Calculated values
As for the calculated total energy: -2.91 eV per atom. The theoretical density comes out at 10.5 g/cm³.

Material: Sm4MgTl5
Method: DFT, PBE
State: relaxed

```
data_Sm4MgTl5
_chemical_formula_sum 'Sm4 Mg1 Tl5'
_space_group_name_H-M_alt 'P 4/m m m'
_space_group_IT_number 123
_space_group_name_Hall '-P 4 2'
_cell_length_a 3.6846
_cell_length_b 3.6846
_cell_length_c 20.4113
_cell_angle_alpha 90.00
_cell_angle_beta 90.00
_cell_angle_gamma 90.00
loop_
_atom_site_label
_atom_site_type_symbol
_atom_site_fract_x
_atom_site_fract_y
_atom_site_fract_z
Sm1 Sm 0.0000 0.0000 0.1038
Sm2 Sm 0.0000 0.0000 0.3121
Mg1 Mg 0.0000 0.0000 0.5000
Tl1 Tl 0.5000 0.5000 0.0000
Tl2 Tl 0.5000 0.5000 0.2082
Tl3 Tl 0.5000 0.5000 0.4146
```

Calculated values
As for the calculated total energy: -3.55 eV per atom. The theoretical density comes out at 9.9 g/cm³.